[1]
The following is a PBE calculation of a geometry-optimized LuMgSnPt structure, from the Alexandria database.

Cell: 4.889 4.889 4.889 Å, 60.00 60.00 60.00°
Fractional positions:
1 Mg 0.500 0.500 0.500
2 Lu 0.000 0.000 0.000
3 Sn 0.250 0.250 0.250
4 Pt 0.750 0.750 0.750

Properties
DFT formation energy: -66.8 kJ per mole of atoms
VASP energy: -4.73 eV per atom
space-group type: F-43m (216)
N(E_F): 0.765 states/eV per atom

[2]
The following is a PBE calculation of a geometry-optimized KPuHgCl6 structure, from the Alexandria database.

Cell: 7.159 7.159 13.517 Å, 90.00 90.00 120.00°
Each line ends with the local moment (μB).
Fractional positions:
1 K 0.000 0.000 0.000  0.00
2 K 0.000 0.000 0.500  0.00
3 Pu 0.333 0.667 0.250  4.99
4 Pu 0.667 0.333 0.750  4.99
5 Hg 0.667 0.333 0.250  0.04
6 Hg 0.333 0.667 0.750  0.04
7 Cl 0.631 0.632 0.138  -0.02
8 Cl 0.001 0.369 0.138  -0.02
9 Cl 0.369 0.001 0.638  -0.02
10 Cl 0.999 0.631 0.862  -0.02
11 Cl 0.368 0.369 0.362  -0.02
12 Cl 0.001 0.632 0.362  -0.02
13 Cl 0.632 0.001 0.862  -0.02
14 Cl 0.631 0.999 0.362  -0.02
15 Cl 0.999 0.368 0.638  -0.02
16 Cl 0.368 0.999 0.138  -0.02
17 Cl 0.632 0.631 0.638  -0.02
18 Cl 0.369 0.368 0.862  -0.02

Properties
VASP energy: -4.46 eV per atom
space-group type: P-31c (163)
N(E_F): 1.148 states/eV per atom
formation energy (no corrections): -1285 kJ/mol of formula units

[3]
The following is a PBE calculation of a geometry-optimized RbCrAg2Hg structure, from the Alexandria database.

Cell: 5.361 5.425 5.361 Å, 90.00 90.00 90.00°
Each line ends with the local moment (μB).
Fractional positions:
1 Cr 0.000 0.000 0.000  3.90
2 Rb 0.500 0.500 0.500  0.00
3 Hg 0.000 0.500 0.000  0.06
4 Ag 0.000 0.000 0.500  0.07
5 Ag 0.500 0.000 0.000  0.06

Properties
DFT formation energy: 39.7 kJ per mole of atoms
VASP energy: -2.91 eV per atom
space-group type: P4/mmm (123)
N(E_F): 0.323 states/eV per atom

[4]
The following is a PBE calculation of a geometry-optimized Zn2PRh structure, from the Alexandria database.

Cell: 3.407 3.408 4.896 Å, 90.00 90.00 90.00°
Fractional positions:
1 Zn 0.000 0.000 0.749
2 Zn 0.000 0.000 0.251
3 P 0.500 0.500 0.000
4 Rh 0.500 0.500 0.500

Properties
DFT formation energy: -16.8 kJ per mole of atoms
VASP energy: -4.00 eV per atom
space-group type: P4/mmm (123)
N(E_F): 0.385 states/eV per atom

[5]
The following is a PBE calculation of a geometry-optimized Li2Tb2SmSb2 structure, from the Alexandria database.

Cell: 4.756 4.756 9.333 Å, 75.24 75.24 60.00°
Fractional positions:
1 Li 0.592 0.592 0.224
2 Li 0.408 0.408 0.776
3 Tb 0.130 0.130 0.609
4 Tb 0.870 0.870 0.391
5 Sm 0.000 0.000 0.000
6 Sb 0.737 0.737 0.789
7 Sb 0.263 0.263 0.211

Properties
VASP energy: -4.29 eV per atom
space-group type: R-3m (166)
N(E_F): 0.778 states/eV per atom
formation energy (no corrections): -386 kJ/mol of formula units

[6]
The following is a PBE calculation of a geometry-optimized KZr2Ir structure, from the Alexandria database.

Cell: 4.170 4.170 9.055 Å, 77.08 77.08 59.87°
Fractional positions:
1 Ir 0.750 0.750 0.750
2 K 0.250 0.250 0.250
3 Zr 0.042 0.042 0.876
4 Zr 0.458 0.458 0.624

Properties
relative energy among the computed polymorphs: 0 meV/atom
DFT formation energy: -0.6 kJ per mole of atoms
VASP energy: -6.77 eV per atom
space-group type: C2/m (12)
N(E_F): 1.353 states/eV per atom

[7]
The following is a PBE calculation of a geometry-optimized Nd8P3Se3S structure, from the Alexandria database.

Cell: 8.295 8.295 8.393 Å, 119.62 90.00 120.00°
Fractional positions:
1 Nd 0.257 0.513 0.270
2 Nd 0.743 0.487 0.730
3 Nd 0.755 0.510 0.267
4 Nd 0.245 0.490 0.733
5 Nd 0.755 0.012 0.267
6 Nd 0.245 0.988 0.733
7 Nd 0.257 0.012 0.267
8 Nd 0.743 0.988 0.733
9 P 0.500 0.000 0.500
10 P 0.500 0.500 0.500
11 P 0.000 0.500 0.500
12 Se 0.000 0.000 0.000
13 Se 0.000 0.500 0.000
14 Se 0.500 0.500 0.000
15 S 0.000 0.000 0.500

Properties
VASP energy: -6.26 eV per atom
space-group type: R-3m (166)
N(E_F): 0.379 states/eV per atom
formation energy (no corrections): -2411 kJ/mol of formula units

[8]
The following is a PBE calculation of a geometry-optimized PmSmSn structure, from the Alexandria database.

Cell: 3.367 3.367 9.211 Å, 100.53 100.53 90.00°
Fractional positions:
1 Sn 0.768 0.768 0.536
2 Sm 0.943 0.943 0.886
3 Pm 0.139 0.139 0.278

Properties
relative energy among the computed polymorphs: 689 meV/atom
DFT formation energy: 10.4 kJ per mole of atoms
VASP energy: -4.38 eV per atom
space-group type: I4mm (107)
N(E_F): 1.548 states/eV per atom

[9]
The following is a PBE calculation of a geometry-optimized AcSn2Rh4 structure, from the Alexandria database.

Cell: 4.127 8.225 8.225 Å, 90.00 90.00 90.00°
Fractional positions:
1 Ac 0.500 0.000 0.000
2 Ac 0.000 0.500 0.500
3 Sn 0.000 0.226 0.774
4 Sn 0.000 0.774 0.226
5 Sn 0.500 0.726 0.726
6 Sn 0.500 0.274 0.274
7 Rh 0.000 0.078 0.354
8 Rh 0.000 0.922 0.646
9 Rh 0.500 0.146 0.578
10 Rh 0.500 0.854 0.422
11 Rh 0.500 0.422 0.854
12 Rh 0.500 0.578 0.146
13 Rh 0.000 0.354 0.078
14 Rh 0.000 0.646 0.922

Properties
DFT formation energy: -46.8 kJ per mole of atoms
VASP energy: -6.42 eV per atom
space-group type: P4_2/mnm (136)
N(E_F): 0.663 states/eV per atom

[10]
The following is a PBE calculation of a geometry-optimized Sc2VZnN structure, from the Alexandria database.

Cell: 4.446 4.446 3.918 Å, 90.00 90.00 90.00°
Each line ends with the local moment (μB).
Fractional positions:
1 Sc 0.000 0.500 0.000  0.01
2 Sc 0.500 0.000 0.000  0.01
3 Zn 0.500 0.500 0.500  -0.04
4 N 0.000 0.000 0.000  -0.05
5 V 0.000 0.000 0.500  1.16

Properties
VASP energy: -7.09 eV per atom
space-group type: P4/mmm (123)
N(E_F): 0.554 states/eV per atom
formation energy (no corrections): -392 kJ/mol of formula units

[11]
The following is a PBE calculation of a geometry-optimized LaTbZnRu structure, from the Alexandria database.

Cell: 4.499 3.934 5.876 Å, 90.00 112.51 90.00°
Fractional positions:
1 La 0.168 0.000 0.337
2 Tb 0.872 0.500 0.743
3 Zn 0.564 0.500 0.129
4 Ru 0.396 0.000 0.791

Properties
relative energy among the computed polymorphs: 0 meV/atom
DFT formation energy: -28.6 kJ per mole of atoms
VASP energy: -5.32 eV per atom
space-group type: Amm2 (38)
N(E_F): 0.737 states/eV per atom

[12]
The following is a PBE calculation of a geometry-optimized La2ZnHg structure, from the Alexandria database.

Cell: 5.434 5.434 5.434 Å, 119.81 119.83 90.31°
Each line ends with the local moment (μB).
Fractional positions:
1 Zn 0.250 0.750 0.500  0.00
2 Hg 0.750 0.250 0.500  0.01
3 La 0.000 0.000 0.000  0.12
4 La 0.500 0.500 0.000  0.12

Properties
relative energy among the computed polymorphs: 23 meV/atom
DFT formation energy: -38.0 kJ per mole of atoms
VASP energy: -3.25 eV per atom
space-group type: I4/mmm (139)
N(E_F): 1.076 states/eV per atom

Going through the records in order, we get magnetic moment values of 0.000 0.556 0.950 0.000 0.000 0.000 0.000 0.000 0.000 0.245 0.000 0.133 μB/atom.
Going through the records in order, we get volume values of 82.6 600.0 155.9 56.8 174.8 131.6 410.7 100.8 279.2 77.4 96.1 113.8 Å³ per cell.